VASP calculation (PBE) on a relaxed structure of Ac2Be2Ge3. Values from VASP.

Energy of formation from the pure elements = -2.8 eV/f.u.
Density of states at the Fermi level = 0.41 states/eV per atom

```
&SYSTEM
  ibrav = 0, nat = 14, ntyp = 3
/
ATOMIC_SPECIES
Ac 227.00 Ac.upf
Ge 72.64 Ge.upf
Be 9.01 Be.upf
CELL_PARAMETERS angstrom
3.966 0.000 -0.946
0.000 7.282 0.000
0.480 0.000 10.804
ATOMIC_POSITIONS angstrom
Ac 3.537 5.462 6.046
Ac 0.909 1.821 3.812
Ac 0.189 5.462 0.791
Ac 4.258 1.821 9.067
Ge 2.093 6.697 8.781
Ge 2.353 3.056 1.077
Ge 3.486 1.821 5.830
Ge 2.093 4.226 8.781
Ge 2.353 0.585 1.077
Ge 0.960 5.462 4.028
Be 2.759 6.508 2.780
Be 1.687 2.867 7.078
Be 1.687 0.774 7.078
Be 2.759 4.415 2.780
```